(1)
DFT (PBE-GGA) results for a relaxed Hf3Zr2Te2 crystal.

Properties
Calculated density ... 10.17 g cm⁻³
E_form (uncorrected) ... -0.3805 eV per atom
D(E_F) ... 0.4594 states/eV/atom
Total moment ... 0.00 μB/f.u.
Space-group type ... C2/m (12)

abc: 5.775 5.775 7.775
angles: 104.53 104.53 39.46
Fractional coordinates of all 7 atoms:
1 Hf 0.000 0.000 0.000
2 Hf 0.126 0.126 0.450
3 Hf 0.874 0.874 0.550
4 Zr 0.403 0.403 0.247
5 Zr 0.597 0.597 0.753
6 Te 0.318 0.318 0.807
7 Te 0.682 0.682 0.193



(2)
DFT (PBE-GGA) results for a relaxed Hf2ZrTe6 crystal.

Properties
Calculated density ... 7.59 g cm⁻³
E_form (uncorrected) ... -0.6533 eV per atom
Energy above the most stable polymorph in this dataset ... 195 meV per atom
D(E_F) ... 0.1935 states/eV/atom
Total moment ... 0.00 μB/f.u.
Space-group type ... P2_1/c (14)

abc: 6.731 7.294 12.720
angles: 90.00 121.75 90.00
Fractional coordinates of all 18 atoms:
1 Hf 0.175 0.129 0.240
2 Hf 0.175 0.371 0.740
3 Hf 0.825 0.629 0.260
4 Hf 0.825 0.871 0.760
5 Zr 0.500 0.000 0.000
6 Zr 0.500 0.500 0.500
7 Te 0.070 0.191 0.916
8 Te 0.070 0.309 0.416
9 Te 0.241 0.658 0.920
10 Te 0.241 0.842 0.420
11 Te 0.425 0.044 0.753
12 Te 0.425 0.456 0.253
13 Te 0.575 0.544 0.747
14 Te 0.575 0.956 0.247
15 Te 0.759 0.158 0.580
16 Te 0.759 0.342 0.080
17 Te 0.930 0.691 0.584
18 Te 0.930 0.809 0.084